Density functional theory data (PBE with a Hubbard U) for a relaxed structure of MnBeNb2O.

abc: 4.4143 4.4143 4.1843
angles: 90.00 90.00 90.00
Atoms (fractional coordinates):
1 Mn 0.0000 0.0000 0.0000
2 Be 0.0000 0.0000 0.5000
3 Nb 0.0000 0.5000 0.5000
4 Nb 0.5000 0.0000 0.5000
5 O 0.5000 0.5000 0.0000

Results
total DFT energy (no corrections)	-6.28	eV per atom